Entry from Alexandria via LeMat-Bulk: a relaxed structure of BaYMnCoO5 (PBE with a Hubbard U).

abc: 5.596 5.615 7.765
angles: 90.09 90.03 91.01
Space group P1 (No. 1)
One atom of each set of equivalent atoms:
Ba (0.000, 0.000, 0.000) x1
Ba (0.499, 0.502, 0.999) x1
Y (0.498, 0.498, 0.490) x1
Y (0.999, 0.999, 0.488) x1
Mn (0.499, 0.999, 0.722) x1
Mn (0.999, 0.499, 0.731) x1
Co (0.501, 0.001, 0.247) x1
Co (0.998, 0.499, 0.254) x1
O (0.241, 0.764, 0.666) x1
O (0.243, 0.230, 0.313) x1
O (0.244, 0.719, 0.306) x1
O (0.266, 0.258, 0.684) x1
O (0.499, 0.999, 0.992) x1
O (0.731, 0.740, 0.684) x1
O (0.753, 0.277, 0.306) x1
O (0.755, 0.766, 0.313) x1
O (0.757, 0.233, 0.666) x1
O (0.999, 0.499, 0.002) x1

Final energy: -131.47 eV/cell
ΔE to the lowest computed polymorph: 19.5 meV per atom